Record 1
CaMgAs2 (PBE-GGA, optimized geometry); symmetry = Immm, No. 71; DFT total energy = -3.810 eV per atom; spin magnetization = 0.00 μB per formula unit
1.0
4.9727 -0.0011 -0.0011
-0.6314 4.9324 0.0011
-1.6116 -2.9578 3.6581
As Ca Mg
2 1 1
Direct
0.9656 0.9656 0.0000
0.5344 0.5344 0.0000
0.2500 0.7500 0.5000
0.7500 0.2500 0.5000


Record 2
Ca2MgAs (PBE-GGA, optimized geometry); symmetry = C2/m, No. 12; DFT total energy = -3.100 eV per atom; spin magnetization = 0.00 μB per formula unit
1.0
4.3648 -0.0346 0.0457
2.2296 3.7525 0.0457
2.0642 1.1638 7.9686
As Ca Mg
1 2 1
Direct
0.7500 0.7500 0.7500
0.0227 0.0227 0.9342
0.4773 0.4773 0.5658
0.2500 0.2500 0.2500


Record 3
CaMgAs2 (PBE-GGA, optimized geometry); symmetry = Cmmm, No. 65; DFT total energy = -3.787 eV per atom; spin magnetization = 0.00 μB per formula unit
1.0
-1.7211 2.0915 -4.2462
-2.3119 -4.4632 -0.3194
-2.7111 1.2802 1.7290
As Ca Mg
2 1 1
Direct
0.0000 0.0000 0.0000
0.5000 0.5000 0.0000
0.5000 0.0000 0.5000
0.0000 0.5000 0.5000


Record 4
CaMg2As (PBE-GGA, optimized geometry); symmetry = Cmmm, No. 65; DFT total energy = -2.843 eV per atom; spin magnetization = 0.00 μB per formula unit
1.0
4.2813 0.0000 0.0000
0.0000 5.4409 -0.0196
0.0000 2.4627 4.8519
As Ca Mg
1 1 2
Direct
0.5000 0.2500 0.2500
0.5000 0.7500 0.7500
0.0000 0.0754 0.0756
0.0000 0.4246 0.4244


Record 5
CaMgAs2 (PBE-GGA, optimized geometry); symmetry = Cm, No. 8; DFT total energy = -3.877 eV per atom; spin magnetization = 0.00 μB per formula unit
1.0
-1.9249 -0.7736 -5.4256
-3.9544 -3.2116 -2.7909
-3.4021 2.5391 -0.2712
As Ca Mg
2 1 1
Direct
0.9872 0.9872 0.1211
0.7794 0.7794 0.5937
0.4987 0.4987 0.6000
0.2347 0.2347 0.1851


Record 6
CaMg2As (PBE-GGA, optimized geometry); symmetry = R-3m, No. 166; DFT total energy = -2.736 eV per atom; spin magnetization = 0.00 μB per formula unit
1.0
7.8978 -0.0089 -0.0054
6.7973 4.0214 -0.0054
6.7973 1.8560 3.5675
As Ca Mg
1 1 2
Direct
0.2500 0.2500 0.2500
0.7500 0.7500 0.7500
0.9698 0.9698 0.9698
0.5302 0.5302 0.5302


Record 7
CaMgAs2 (PBE-GGA, optimized geometry); symmetry = R-3m, No. 166; DFT total energy = -3.763 eV per atom; spin magnetization = 0.00 μB per formula unit
1.0
-5.2319 -5.4815 -2.6295
-4.3252 -6.7074 0.7991
-6.9234 -4.0311 0.3897
As Ca Mg
2 1 1
Direct
0.0069 0.0069 0.0069
0.4931 0.4931 0.4931
0.2500 0.2500 0.2500
0.7500 0.7500 0.7500


Record 8
Ca4MgAs (PBE-GGA, optimized geometry); symmetry = F-43m, No. 216; DFT total energy = -2.096 eV per atom; spin magnetization = 0.04 μB per formula unit
1.0
0.0000 4.6883 4.6883
4.6883 0.0000 4.6883
4.6883 4.6883 0.0000
Ca Mg As
4 1 1
Direct
0.8773 0.3742 0.3742
0.3742 0.3742 0.8773
0.3742 0.8773 0.3742
0.3742 0.3742 0.3742
0.7500 0.7500 0.7500
0.0000 0.0000 0.0000


Record 9
Ca2MgAs (PBE-GGA, optimized geometry); symmetry = Immm, No. 71; DFT total energy = -3.007 eV per atom; spin magnetization = 0.00 μB per formula unit
1.0
5.5296 -0.0893 -0.1690
1.1461 5.4102 0.1690
-3.1967 -2.8375 3.5131
As Ca Mg
1 2 1
Direct
0.2500 0.7500 0.5000
0.0031 0.0031 0.0000
0.4969 0.4969 0.0000
0.7500 0.2500 0.5000


Record 10
CaMg2As (PBE-GGA, optimized geometry); symmetry = C2/m, No. 12; DFT total energy = -2.734 eV per atom; spin magnetization = 0.00 μB per formula unit
1.0
-6.4967 -0.5110 -0.4740
2.5040 -3.2740 -3.0643
-0.7607 -2.4693 1.9859
As Ca Mg
1 1 2
Direct
0.5000 0.5000 0.0000
0.5000 0.0000 0.5000
0.0000 0.0000 0.0000
0.0000 0.5000 0.5000


Record 11
CaMg2As (PBE-GGA, optimized geometry); symmetry = Pm, No. 6; DFT total energy = -2.969 eV per atom; spin magnetization = 0.00 μB per formula unit
1.0
3.9160 0.0000 0.0000
0.0000 4.3233 -0.0039
0.0000 2.1544 5.9886
As Ca Mg
1 1 2
Direct
0.0000 0.2822 0.5601
0.5000 0.7277 0.6699
0.0000 0.0503 0.0237
0.5000 0.4398 0.2463


Record 12
CaMgAs2 (PBE-GGA, optimized geometry); symmetry = I-42d, No. 122; DFT total energy = -3.644 eV per atom; spin magnetization = 0.00 μB per formula unit
1.0
-1.9377 -0.2179 4.9239
-4.8711 -0.7217 -1.9489
-2.2372 -8.6148 1.5864
Mg As Ca
2 4 2
Direct
0.5000 0.5000 0.0000
0.2500 0.7500 0.5000
0.4874 0.1250 0.2500
0.2626 0.6250 0.2500
0.3750 0.5126 0.7500
0.8750 0.7374 0.7500
0.0000 0.0000 0.0000
0.7500 0.2500 0.5000


Record 13
CaMg2As (PBE-GGA, optimized geometry); symmetry = Cm, No. 8; DFT total energy = -2.832 eV per atom; spin magnetization = 0.00 μB per formula unit
1.0
4.2279 -0.7190 0.3564
2.8271 3.2248 0.3564
1.4453 0.5134 7.2013
As Ca Mg
1 1 2
Direct
0.4881 0.4881 0.5469
0.2268 0.2268 0.3077
0.0102 0.0102 0.9597
0.7748 0.7748 0.6858


Record 14
CaMg2As (PBE-GGA, optimized geometry); symmetry = F-43m, No. 216; DFT total energy = -2.702 eV per atom; spin magnetization = 0.00 μB per formula unit
1.0
-0.8781 0.2661 5.0805
-4.1169 -2.3586 2.0351
0.6222 -4.1908 2.9502
As Ca Mg
1 1 2
Direct
0.5000 0.5000 0.5000
0.2500 0.2500 0.2500
0.0000 0.0000 0.0000
0.7500 0.7500 0.7500


Record 15
Ca2MgNi4As3 (PBE-GGA, optimized geometry); symmetry = P-4m2, No. 115; DFT total energy = -4.883 eV per atom; spin magnetization = 0.00 μB per formula unit
1.0
4.0609 0.0000 0.0000
0.0000 4.0609 0.0000
0.0000 0.0000 10.1444
Ca Mg Ni As
2 1 4 3
Direct
0.5000 0.0000 0.2381
0.0000 0.5000 0.7619
0.5000 0.5000 0.5000
0.5000 0.5000 0.0000
0.0000 0.0000 0.0000
0.5000 0.0000 0.6431
0.0000 0.5000 0.3569
0.0000 0.0000 0.5000
0.5000 0.0000 0.8717
0.0000 0.5000 0.1283


Record 16
Ca2MgNi3As4 (PBE-GGA, optimized geometry); symmetry = P-4m2, No. 115; DFT total energy = -4.835 eV per atom; spin magnetization = 0.00 μB per formula unit
1.0
-0.1762 3.3758 -2.4661
-3.8189 0.8744 1.4699
4.1359 5.6222 7.4007
Ca Mg Ni As
2 1 3 4
Direct
0.5000 0.0000 0.2358
0.0000 0.5000 0.7642
0.5000 0.5000 0.5000
0.0000 0.0000 0.5000
0.5000 0.0000 0.8837
0.0000 0.5000 0.1163
0.5000 0.5000 0.0000
0.0000 0.0000 0.0000
0.5000 0.0000 0.6504
0.0000 0.5000 0.3496


Record 17
Ca2MgAs2O10 (PBE-GGA, optimized geometry); ΔE_f (raw) = -1604 meV per atom; symmetry = P2_1/c, No. 14; spin magnetization = 3.93 μB per formula unit
1.0
-10.2050 4.6309 7.1938
2.9396 -0.5833 4.5455
3.5617 4.9745 1.8504
Ca Mg As O
4 2 4 20
Direct
0.8660 0.6708 0.5679
0.1340 0.3292 0.4321
0.3660 0.8292 0.4321
0.6340 0.1708 0.5679
0.0000 0.0000 0.0000
0.5000 0.5000 0.0000
0.6236 0.8983 0.2070
0.3764 0.1017 0.7930
0.1236 0.6017 0.7930
0.8764 0.3983 0.2070
0.8161 0.5890 0.9432
0.1839 0.4110 0.0568
0.3161 0.9110 0.0568
0.6839 0.0890 0.9432
0.6997 0.8519 0.4409
0.3003 0.1481 0.5591
0.1997 0.6481 0.5591
0.8003 0.3519 0.4409
0.4079 0.5313 0.2563
0.5921 0.4687 0.7437
0.9079 0.9687 0.7437
0.0921 0.0313 0.2563
0.5895 0.5818 0.2268
0.4105 0.4182 0.7732
0.0895 0.9182 0.7732
0.9105 0.0818 0.2268
0.9790 0.5758 0.2358
0.0210 0.4242 0.7642
0.4790 0.9242 0.7642
0.5210 0.0758 0.2358


Record 18
Ca2MgAsO6 (PBE-GGA, optimized geometry); ΔE_f (raw) = -2207 meV per atom; symmetry = P2_1/c, No. 14; spin magnetization = 1.07 μB per formula unit
1.0
-5.1234 -1.2767 1.1817
1.1744 -5.3138 -0.6492
1.8480 -0.4978 7.4177
Ca Mg As O
4 2 2 12
Direct
0.0087 0.9617 0.2489
0.5087 0.5383 0.7489
0.9913 0.0383 0.7511
0.4913 0.4617 0.2511
0.5000 0.0000 0.5000
0.0000 0.5000 0.0000
0.5000 0.0000 0.0000
0.0000 0.5000 0.5000
0.3018 0.7301 0.0395
0.8018 0.7699 0.5395
0.6982 0.2699 0.9605
0.1982 0.2301 0.4605
0.2713 0.7010 0.4646
0.7714 0.7990 0.9646
0.7287 0.2990 0.5354
0.2286 0.2010 0.0354
0.9280 0.5181 0.2643
0.4280 0.9819 0.7643
0.0720 0.4819 0.7357
0.5720 0.0181 0.2357


Record 19
Ca3Mg2As3O12 (PBE-GGA, optimized geometry); ΔE_f (raw) = -2190 meV per atom; symmetry = Ia-3d, No. 230; spin magnetization = 0.00 μB per formula unit
1.0
10.9174 0.0000 0.0000
-3.6391 10.2930 0.0000
-3.6391 -5.1465 8.9140
Ca Mg As O
12 8 12 48
Direct
0.2500 0.3750 0.1250
0.7500 0.6250 0.8750
0.7500 0.1250 0.3750
0.1250 0.2500 0.3750
0.3750 0.7500 0.1250
0.2500 0.8750 0.6250
0.8750 0.7500 0.6250
0.6250 0.2500 0.8750
0.3750 0.1250 0.2500
0.6250 0.8750 0.7500
0.1250 0.3750 0.7500
0.8750 0.6250 0.2500
0.0000 0.0000 0.0000
0.5000 0.0000 0.5000
0.0000 0.5000 0.5000
0.5000 0.0000 0.0000
0.5000 0.5000 0.0000
0.5000 0.5000 0.5000
0.0000 0.0000 0.5000
0.0000 0.5000 0.0000
0.2500 0.6250 0.3750
0.7500 0.3750 0.6250
0.7500 0.8750 0.1250
0.3750 0.2500 0.6250
0.6250 0.7500 0.3750
0.2500 0.1250 0.8750
0.1250 0.7500 0.8750
0.8750 0.2500 0.1250
0.6250 0.3750 0.2500
0.3750 0.6250 0.7500
0.8750 0.1250 0.7500
0.1250 0.8750 0.2500
0.4831 0.3791 0.2925
0.5169 0.6209 0.7075
0.5866 0.1906 0.2075
0.9134 0.1209 0.6040
0.2925 0.4831 0.3791
0.3094 0.9134 0.2925
0.4134 0.8094 0.7925
0.0866 0.8791 0.3960
0.7075 0.5169 0.6209
0.6906 0.0866 0.7075
0.0169 0.3094 0.8960
0.2075 0.5866 0.1906
0.1209 0.0169 0.2075
0.9831 0.6906 0.1040
0.7925 0.4134 0.8094
0.8791 0.9831 0.7925
0.6040 0.9134 0.1209
0.1906 0.4831 0.6040
0.3960 0.0866 0.8791
0.8094 0.5169 0.3960
0.8960 0.0169 0.3094
0.3791 0.5866 0.8960
0.1040 0.9831 0.6906
0.6209 0.4134 0.1040
0.3791 0.2925 0.4831
0.5866 0.8960 0.3791
0.6209 0.7075 0.5169
0.4134 0.1040 0.6209
0.1209 0.6040 0.9134
0.0169 0.2075 0.1209
0.8791 0.3960 0.0866
0.9831 0.7925 0.8791
0.3094 0.8960 0.0169
0.9134 0.2925 0.3094
0.6906 0.1040 0.9831
0.0866 0.7075 0.6906
0.1906 0.2075 0.5866
0.4831 0.6040 0.1906
0.8094 0.7925 0.4134
0.5169 0.3960 0.8094
0.2925 0.3094 0.9134
0.7075 0.6906 0.0866
0.2075 0.1209 0.0169
0.7925 0.8791 0.9831
0.8960 0.3791 0.5866
0.1040 0.6209 0.4134
0.6040 0.1906 0.4831
0.3960 0.8094 0.5169


Record 20
CaMgAsO4 (PBE-GGA, optimized geometry); ΔE_f (raw) = -2011 meV per atom; symmetry = Imma, No. 74; spin magnetization = 0.00 μB per formula unit
1.0
6.1753 0.0000 0.0000
3.0876 5.4801 0.0074
3.0876 1.6765 5.2174
Ca Mg As O
2 2 2 8
Direct
0.0000 0.0000 0.0000
0.0000 0.5000 0.5000
0.5000 0.0000 0.5000
0.0000 0.0000 0.5000
0.6339 0.6161 0.1161
0.3661 0.3839 0.8839
0.7413 0.7867 0.7307
0.2587 0.7693 0.7133
0.7413 0.2307 0.2867
0.2587 0.2133 0.2693
0.2797 0.7410 0.2410
0.7384 0.7410 0.2410
0.2616 0.2590 0.7590
0.7203 0.2590 0.7590


Record 21
CaMgPaAs3 (PBE-GGA, optimized geometry); symmetry = P2_1/m, No. 11; DFT total energy = -5.369 eV per atom; spin magnetization = 0.00 μB per formula unit
1.0
-1.0750 -3.8640 1.3755
3.4209 1.6581 7.3315
-8.5058 2.8638 1.3975
Ca Mg Pa As
2 2 2 6
Direct
0.2500 0.1942 0.2269
0.7500 0.8058 0.7731
0.2500 0.0924 0.5905
0.7500 0.9076 0.4095
0.2500 0.6773 0.1577
0.7500 0.3227 0.8423
0.7500 0.9006 0.1244
0.2500 0.0994 0.8756
0.2500 0.7570 0.4849
0.7500 0.2430 0.5151
0.7500 0.4469 0.1623
0.2500 0.5531 0.8377